DFT (GGA-PBE) results for LiPrAg2 after structural relaxation.

## Properties
DOS(E_F) in states/eV per cell: 7.31
V in Å³ per cell: 275.4

Cell lengths 4.6613, 4.6613, 14.6336 Å; angles 90.00, 90.00, 120.00 degrees
Space group R-3m (No. 166, hexagonal axes)
Inequivalent atoms, fractional coordinates:
Li  0.0000  0.0000  0.0000 (multiplicity 3)
Pr  0.0000  0.0000  0.5000 (multiplicity 3)
Ag  0.0000  0.0000  0.2859 (multiplicity 6)



DFT (GGA-PBE) results for Li3Pr2Ag2 after structural relaxation.

## Properties
DOS(E_F) in states/eV per cell: 11.71
V in Å³ per cell: 367.8

Cell lengths 4.673, 20.950, 3.757 Å; angles 90.00, 90.00, 90.00 degrees
Space group Cmmm (No. 65)
Inequivalent atoms, fractional coordinates:
Li  0.000  0.000  0.000 (multiplicity 2)
Li  0.000  0.430  0.500 (multiplicity 4)
Pr  0.000  0.166  0.000 (multiplicity 4)
Ag  0.000  0.292  0.500 (multiplicity 4)



Electronic total energy, respectively: -3.32 -3.06 eV/atom.
E above lowest polymorph, respectively: 0.0 75.1 meV/atom.
Formation energy, respectively: -0.2194 -0.0642 eV/atom.